[1]
## NaZnPO4 (PBE)

Data for crystalline NaZnPO4 at its relaxed geometry.

Structure (CIF):
```
data_NaZnPO4
_chemical_formula_sum 'Na2 Zn2 P2 O8'
_cell_length_a 5.152
_cell_length_b 5.152
_cell_length_c 7.566
_cell_angle_alpha 90.00
_cell_angle_beta 90.00
_cell_angle_gamma 90.00
_symmetry_space_group_name_H-M 'I -4'
_symmetry_Int_Tables_number 82
_symmetry_space_group_name_Hall 'I -4'
loop_
_atom_site_label
_atom_site_type_symbol
_atom_site_fract_x
_atom_site_fract_y
_atom_site_fract_z
Na1 Na 0.000 0.000 0.000
Zn1 Zn 0.000 0.000 0.500
P1 P 0.000 0.500 0.750
O1 O 0.144 0.295 0.635
```

Magnetization ... 0.00 μB/f.u.
E_form (uncorrected) ... -2083.7 meV per atom
Calculated volume ... 100.4 Å³/f.u.
Relative energy among the computed polymorphs ... 6 meV per atom

---

[2]
## MnInSb (PBE)

Data for crystalline MnInSb at its relaxed geometry.

Structure (CIF):
```
data_MnInSb
_chemical_formula_sum 'Mn2 In2 Sb2'
_cell_length_a 3.084
_cell_length_b 3.567
_cell_length_c 12.263
_cell_angle_alpha 90.00
_cell_angle_beta 90.00
_cell_angle_gamma 90.00
_symmetry_space_group_name_H-M 'I m m 2'
_symmetry_Int_Tables_number 44
_symmetry_space_group_name_Hall 'I 2 -2'
loop_
_atom_site_label
_atom_site_type_symbol
_atom_site_fract_x
_atom_site_fract_y
_atom_site_fract_z
Mn1 Mn 0.000 0.000 0.000
In1 In 0.000 0.000 0.356
Sb1 Sb 0.000 0.000 0.627
```

Magnetization ... 3.28 μB/f.u.
E_form (uncorrected) ... 199.8 meV per atom
Calculated volume ... 67.4 Å³/f.u.
Relative energy among the computed polymorphs ... 34 meV per atom

---

[3]
## YZr2Ni9 (PBE)

Data for crystalline YZr2Ni9 at its relaxed geometry.

Structure (CIF):
```
data_YZr2Ni9
_chemical_formula_sum 'Y3 Zr6 Ni27'
_cell_length_a 4.8984
_cell_length_b 4.8984
_cell_length_c 23.8983
_cell_angle_alpha 90.00
_cell_angle_beta 90.00
_cell_angle_gamma 120.00
_symmetry_space_group_name_H-M 'R -3 m'
_symmetry_Int_Tables_number 166
_symmetry_space_group_name_Hall '-R 3 2"'
loop_
_atom_site_label
_atom_site_type_symbol
_atom_site_fract_x
_atom_site_fract_y
_atom_site_fract_z
Y1 Y 0.0000 0.0000 0.0000
Zr1 Zr 0.0000 0.0000 0.1394
Ni1 Ni 0.0000 0.0000 0.3336
Ni2 Ni 0.0000 0.0000 0.5000
Ni3 Ni 0.0040 0.5020 0.9149
```

Calculated formation energy ... -0.42 eV per atom
Magnetization ... 0.00 μB/f.u.
Calculated volume ... 165.5 Å³/f.u.

---

[4]
## Ce4TeRu (PBE)

Data for crystalline Ce4TeRu at its relaxed geometry.

Structure (CIF):
```
data_Ce4TeRu
_chemical_formula_sum 'Ce16 Te4 Ru4'
_cell_length_a 8.572
_cell_length_b 12.869
_cell_length_c 6.008
_cell_angle_alpha 90.00
_cell_angle_beta 111.32
_cell_angle_gamma 90.00
_symmetry_space_group_name_H-M 'C 1 2/c 1'
_symmetry_Int_Tables_number 15
_symmetry_space_group_name_Hall '-C 2yc'
loop_
_atom_site_label
_atom_site_type_symbol
_atom_site_fract_x
_atom_site_fract_y
_atom_site_fract_z
Ce1 Ce 0.124 0.198 0.083
Ce2 Ce 0.235 0.404 0.337
Te1 Te 0.000 0.395 0.750
Ru1 Ru 0.000 0.005 0.750
```

Magnetization ... 2.79 μB/f.u.
E_form (uncorrected) ... -492.8 meV per atom
Calculated volume ... 154.4 Å³/f.u.

---

[5]
## CaDyCdAu (PBE)

Data for crystalline CaDyCdAu at its relaxed geometry.

Structure (CIF):
```
data_CaDyCdAu
_chemical_formula_sum 'Ca1 Dy1 Cd1 Au1'
_cell_length_a 3.665
_cell_length_b 3.665
_cell_length_c 7.586
_cell_angle_alpha 90.00
_cell_angle_beta 90.00
_cell_angle_gamma 90.00
_symmetry_space_group_name_H-M 'P 4 m m'
_symmetry_Int_Tables_number 99
_symmetry_space_group_name_Hall 'P 4 -2'
loop_
_atom_site_label
_atom_site_type_symbol
_atom_site_fract_x
_atom_site_fract_y
_atom_site_fract_z
Ca1 Ca 0.000 0.000 0.000
Dy1 Dy 0.000 0.000 0.538
Cd1 Cd 0.500 0.500 0.277
Au1 Au 0.500 0.500 0.743
```

Calculated formation energy ... -0.59 eV per atom
Magnetization ... 0.00 μB/f.u.
Calculated volume ... 101.9 Å³/f.u.
Relative energy among the computed polymorphs ... 0 meV per atom

---

[6]
## Sr2HgCl2 (PBE)

Data for crystalline Sr2HgCl2 at its relaxed geometry.

Structure (CIF):
```
data_Sr2HgCl2
_chemical_formula_sum 'Sr4 Hg2 Cl4'
_cell_length_a 4.761
_cell_length_b 4.761
_cell_length_c 14.747
_cell_angle_alpha 90.00
_cell_angle_beta 90.00
_cell_angle_gamma 90.00
_symmetry_space_group_name_H-M 'I 4/m m m'
_symmetry_Int_Tables_number 139
_symmetry_space_group_name_Hall '-I 4 2'
loop_
_atom_site_label
_atom_site_type_symbol
_atom_site_fract_x
_atom_site_fract_y
_atom_site_fract_z
Sr1 Sr 0.000 0.000 0.131
Hg1 Hg 0.000 0.000 0.500
Cl1 Cl 0.000 0.500 0.250
```

Magnetization ... 0.00 μB/f.u.
E_form (uncorrected) ... -1514.8 meV per atom
Calculated volume ... 167.1 Å³/f.u.
Relative energy among the computed polymorphs ... 0 meV per atom

---

Number 1: total DFT energy (no corrections) -6.060 eV/atom. Number 2: total DFT energy (no corrections) -5.144 eV/atom. Number 3: total DFT energy (no corrections) -6.720 eV/atom. Number 4: total DFT energy (no corrections) -6.518 eV/atom. Number 5: total DFT energy (no corrections) -3.288 eV/atom. Number 6: total DFT energy (no corrections) -2.987 eV/atom.